A relaxed Cd2P crystal, computed with PBE.

a b c (Å): 5.782 5.782 5.782
angles (deg): 90.00 90.00 90.00
Atoms (fractional coordinates):
Cd 0.000 0.000 0.000
Cd 0.000 0.500 0.500
Cd 0.500 0.000 0.500
Cd 0.500 0.500 0.000
P 0.250 0.250 0.250
P 0.750 0.750 0.750

Results
final energy: -2.164 eV/atom
energy above the most stable polymorph in this dataset: 160 meV per atom
DOS at the Fermi energy: 3.5 states/eV per cell
SG: Pn-3m (224)